Entry 1:
## La3GdFe (PBE-GGA)

Data for crystalline La3GdFe at its relaxed geometry.

Values from the calculation:
M_tot	1.61	μB per atom
crystal system	cubic
energy of formation from the pure elements	0.588	eV per formula unit

a = 5.451 Å, b = 5.451 Å, c = 5.451 Å
α = 90.00°, β = 90.00°, γ = 90.00°
Fractional coordinates of all 5 atoms:
Gd (0.500, 0.500, 0.500)
Fe (0.000, 0.000, 0.000)
La (0.000, 0.500, 0.000)
La (0.000, 0.000, 0.500)
La (0.500, 0.000, 0.000)



Entry 2:
## LaGdFe (PBE-GGA)

Data for crystalline LaGdFe at its relaxed geometry.

Values from the calculation:
M_tot	2.12	μB per atom
crystal system	tetragonal
energy of formation from the pure elements	0.347	eV per formula unit

a = 3.463 Å, b = 3.463 Å, c = 7.078 Å
α = 104.16°, β = 104.16°, γ = 90.00°
Fractional coordinates of all 3 atoms:
Gd (0.044, 0.044, 0.088)
Fe (0.663, 0.663, 0.326)
La (0.293, 0.293, 0.586)



Entry 3:
## LaGd3Fe (PBE-GGA)

Data for crystalline LaGd3Fe at its relaxed geometry.

Values from the calculation:
M_tot	4.47	μB per atom
crystal system	cubic
energy of formation from the pure elements	0.445	eV per formula unit

a = 5.359 Å, b = 5.359 Å, c = 5.359 Å
α = 90.00°, β = 90.00°, γ = 90.00°
Fractional coordinates of all 5 atoms:
Gd (0.000, 0.500, 0.000)
Gd (0.000, 0.000, 0.500)
Gd (0.500, 0.000, 0.000)
Fe (0.000, 0.000, 0.000)
La (0.500, 0.500, 0.500)



Entry 4:
## LiGd2Fe (PBE-GGA)

Data for crystalline LiGd2Fe at its relaxed geometry.

Values from the calculation:
M_tot	3.43	μB per atom
crystal system	cubic
energy above the lowest structure with this stoichiometry	42.9	meV/atom
energy of formation from the pure elements	0.373	eV per formula unit

a = 4.930 Å, b = 4.930 Å, c = 4.930 Å
α = 60.00°, β = 60.00°, γ = 60.00°
Fractional coordinates of all 4 atoms:
Gd (0.250, 0.250, 0.250)
Gd (0.750, 0.750, 0.750)
Fe (0.500, 0.500, 0.500)
Li (0.000, 0.000, 0.000)



Entry 5:
## LiGd2Fe (PBE-GGA)

Data for crystalline LiGd2Fe at its relaxed geometry.

Values from the calculation:
M_tot	3.46	μB per atom
crystal system	trigonal
energy above the lowest structure with this stoichiometry	227.2	meV/atom
energy of formation from the pure elements	1.110	eV per formula unit

a = 3.607 Å, b = 3.607 Å, c = 10.244 Å
α = 79.86°, β = 79.86°, γ = 60.00°
Fractional coordinates of all 4 atoms:
Gd (0.110, 0.110, 0.671)
Gd (0.890, 0.890, 0.329)
Fe (0.500, 0.500, 0.500)
Li (0.000, 0.000, 0.000)



Entry 6:
## LiGd3Fe (PBE-GGA)

Data for crystalline LiGd3Fe at its relaxed geometry.

Values from the calculation:
M_tot	4.34	μB per atom
crystal system	cubic
energy of formation from the pure elements	0.518	eV per formula unit

a = 5.256 Å, b = 5.256 Å, c = 5.256 Å
α = 90.00°, β = 90.00°, γ = 90.00°
Fractional coordinates of all 5 atoms:
Gd (0.000, 0.500, 0.000)
Gd (0.000, 0.000, 0.500)
Gd (0.500, 0.000, 0.000)
Fe (0.000, 0.000, 0.000)
Li (0.500, 0.500, 0.500)



Entry 7:
## LiGd2Fe (PBE-GGA)

Data for crystalline LiGd2Fe at its relaxed geometry.

Values from the calculation:
M_tot	3.33	μB per atom
crystal system	tetragonal
energy above the lowest structure with this stoichiometry	0.0	meV/atom
energy of formation from the pure elements	0.201	eV per formula unit

a = 3.416 Å, b = 3.416 Å, c = 8.078 Å
α = 90.00°, β = 90.00°, γ = 90.00°
Fractional coordinates of all 4 atoms:
Gd (0.000, 0.000, 0.799)
Gd (0.000, 0.000, 0.201)
Fe (0.500, 0.500, 0.000)
Li (0.500, 0.500, 0.500)



Entry 8:
## LiGdLuFe (PBE-GGA)

Data for crystalline LiGdLuFe at its relaxed geometry.

Values from the calculation:
M_tot	1.70	μB per atom
crystal system	cubic
energy of formation from the pure elements	0.283	eV per formula unit

a = 4.825 Å, b = 4.825 Å, c = 4.825 Å
α = 60.00°, β = 60.00°, γ = 60.00°
Fractional coordinates of all 4 atoms:
Gd (0.250, 0.250, 0.250)
Lu (0.750, 0.750, 0.750)
Fe (0.000, 0.000, 0.000)
Li (0.500, 0.500, 0.500)



Entry 9:
## LiNdGdFe (PBE-GGA)

Data for crystalline LiNdGdFe at its relaxed geometry.

Values from the calculation:
M_tot	1.59	μB per atom
crystal system	cubic
energy of formation from the pure elements	0.533	eV per formula unit

a = 4.995 Å, b = 4.995 Å, c = 4.995 Å
α = 60.00°, β = 60.00°, γ = 60.00°
Fractional coordinates of all 4 atoms:
Gd (0.250, 0.250, 0.250)
Nd (0.750, 0.750, 0.750)
Fe (0.000, 0.000, 0.000)
Li (0.500, 0.500, 0.500)



Entry 10:
## LiPrGdFe (PBE-GGA)

Data for crystalline LiPrGdFe at its relaxed geometry.

Values from the calculation:
M_tot	1.57	μB per atom
crystal system	cubic
energy of formation from the pure elements	0.568	eV per formula unit

a = 5.019 Å, b = 5.019 Å, c = 5.019 Å
α = 60.00°, β = 60.00°, γ = 60.00°
Fractional coordinates of all 4 atoms:
Pr (0.250, 0.250, 0.250)
Gd (0.750, 0.750, 0.750)
Fe (0.500, 0.500, 0.500)
Li (0.000, 0.000, 0.000)



Entry 11:
## LiGdPuFe (PBE-GGA)

Data for crystalline LiGdPuFe at its relaxed geometry.

Values from the calculation:
M_tot	2.99	μB per atom
crystal system	cubic
energy of formation from the pure elements	0.749	eV per formula unit

a = 4.884 Å, b = 4.884 Å, c = 4.884 Å
α = 60.00°, β = 60.00°, γ = 60.00°
Fractional coordinates of all 4 atoms:
Gd (0.250, 0.250, 0.250)
Li (0.500, 0.500, 0.500)
Fe (0.000, 0.000, 0.000)
Pu (0.750, 0.750, 0.750)



Entry 12:
## LiTbGdFe (PBE-GGA)

Data for crystalline LiTbGdFe at its relaxed geometry.

Values from the calculation:
M_tot	1.65	μB per atom
crystal system	cubic
energy of formation from the pure elements	0.389	eV per formula unit

a = 4.902 Å, b = 4.902 Å, c = 4.902 Å
α = 60.00°, β = 60.00°, γ = 60.00°
Fractional coordinates of all 4 atoms:
Gd (0.750, 0.750, 0.750)
Tb (0.250, 0.250, 0.250)
Fe (0.000, 0.000, 0.000)
Li (0.500, 0.500, 0.500)



Entry 13:
## LiGdTmFe (PBE-GGA)

Data for crystalline LiGdTmFe at its relaxed geometry.

Values from the calculation:
M_tot	1.69	μB per atom
crystal system	cubic
energy of formation from the pure elements	0.308	eV per formula unit

a = 4.846 Å, b = 4.846 Å, c = 4.846 Å
α = 60.00°, β = 60.00°, γ = 60.00°
Fractional coordinates of all 4 atoms:
Gd (0.250, 0.250, 0.250)
Tm (0.750, 0.750, 0.750)
Fe (0.500, 0.500, 0.500)
Li (0.000, 0.000, 0.000)



Entry 14:
## LiGdYFe (PBE-GGA)

Data for crystalline LiGdYFe at its relaxed geometry.

Values from the calculation:
M_tot	1.66	μB per atom
crystal system	cubic
energy of formation from the pure elements	0.404	eV per formula unit

a = 4.907 Å, b = 4.907 Å, c = 4.907 Å
α = 60.00°, β = 60.00°, γ = 60.00°
Fractional coordinates of all 4 atoms:
Y (0.750, 0.750, 0.750)
Gd (0.250, 0.250, 0.250)
Fe (0.500, 0.500, 0.500)
Li (0.000, 0.000, 0.000)



Entry 15:
## LiGdZrFe (PBE-GGA)

Data for crystalline LiGdZrFe at its relaxed geometry.

Values from the calculation:
M_tot	1.79	μB per atom
crystal system	cubic
energy of formation from the pure elements	0.366	eV per formula unit

a = 4.719 Å, b = 4.719 Å, c = 4.719 Å
α = 60.00°, β = 60.00°, γ = 60.00°
Fractional coordinates of all 4 atoms:
Gd (0.750, 0.750, 0.750)
Fe (0.500, 0.500, 0.500)
Zr (0.250, 0.250, 0.250)
Li (0.000, 0.000, 0.000)



Entry 16:
## GdLu3Fe (PBE-GGA)

Data for crystalline GdLu3Fe at its relaxed geometry.

Values from the calculation:
M_tot	1.54	μB per atom
crystal system	cubic
energy of formation from the pure elements	0.237	eV per formula unit

a = 5.155 Å, b = 5.155 Å, c = 5.155 Å
α = 90.00°, β = 90.00°, γ = 90.00°
Fractional coordinates of all 5 atoms:
Gd (0.500, 0.500, 0.500)
Lu (0.000, 0.500, 0.000)
Lu (0.000, 0.000, 0.500)
Lu (0.500, 0.000, 0.000)
Fe (0.000, 0.000, 0.000)



Entry 17:
## Gd3LuFe (PBE-GGA)

Data for crystalline Gd3LuFe at its relaxed geometry.

Values from the calculation:
M_tot	4.39	μB per atom
crystal system	cubic
energy of formation from the pure elements	0.626	eV per formula unit

a = 5.279 Å, b = 5.279 Å, c = 5.279 Å
α = 90.00°, β = 90.00°, γ = 90.00°
Fractional coordinates of all 5 atoms:
Gd (0.000, 0.500, 0.000)
Gd (0.000, 0.000, 0.500)
Gd (0.500, 0.000, 0.000)
Lu (0.500, 0.500, 0.500)
Fe (0.000, 0.000, 0.000)



Entry 18:
## GdLuFeNi (PBE-GGA)

Data for crystalline GdLuFeNi at its relaxed geometry.

Values from the calculation:
M_tot	1.60	μB per atom
crystal system	cubic
energy of formation from the pure elements	-0.440	eV per formula unit

a = 4.714 Å, b = 4.714 Å, c = 4.714 Å
α = 60.00°, β = 60.00°, γ = 60.00°
Fractional coordinates of all 4 atoms:
Gd (0.000, 0.000, 0.000)
Ni (0.250, 0.250, 0.250)
Lu (0.500, 0.500, 0.500)
Fe (0.750, 0.750, 0.750)



Entry 19:
## GdLuFePd (PBE-GGA)

Data for crystalline GdLuFePd at its relaxed geometry.

Values from the calculation:
M_tot	1.56	μB per atom
crystal system	cubic
energy of formation from the pure elements	-1.332	eV per formula unit

a = 4.830 Å, b = 4.830 Å, c = 4.830 Å
α = 60.00°, β = 60.00°, γ = 60.00°
Fractional coordinates of all 4 atoms:
Gd (0.750, 0.750, 0.750)
Lu (0.250, 0.250, 0.250)
Fe (0.000, 0.000, 0.000)
Pd (0.500, 0.500, 0.500)



Entry 20:
## GdLuFeRh (PBE-GGA)

Data for crystalline GdLuFeRh at its relaxed geometry.

Values from the calculation:
M_tot	1.38	μB per atom
crystal system	cubic
energy of formation from the pure elements	-1.321	eV per formula unit

a = 4.795 Å, b = 4.795 Å, c = 4.795 Å
α = 60.00°, β = 60.00°, γ = 60.00°
Fractional coordinates of all 4 atoms:
Gd (0.750, 0.750, 0.750)
Lu (0.250, 0.250, 0.250)
Rh (0.000, 0.000, 0.000)
Fe (0.500, 0.500, 0.500)



Entry 21:
## GdLuFeRu (PBE-GGA)

Data for crystalline GdLuFeRu at its relaxed geometry.

Values from the calculation:
M_tot	1.39	μB per atom
crystal system	cubic
energy of formation from the pure elements	-0.367	eV per formula unit

a = 4.774 Å, b = 4.774 Å, c = 4.774 Å
α = 60.00°, β = 60.00°, γ = 60.00°
Fractional coordinates of all 4 atoms:
Gd (0.500, 0.500, 0.500)
Ru (0.750, 0.750, 0.750)
Lu (0.000, 0.000, 0.000)
Fe (0.250, 0.250, 0.250)



Entry 22:
## GdLuZnFe (PBE-GGA)

Data for crystalline GdLuZnFe at its relaxed geometry.

Values from the calculation:
M_tot	1.46	μB per atom
crystal system	cubic
energy of formation from the pure elements	-0.359	eV per formula unit

a = 4.872 Å, b = 4.872 Å, c = 4.872 Å
α = 60.00°, β = 60.00°, γ = 60.00°
Fractional coordinates of all 4 atoms:
Gd (0.750, 0.750, 0.750)
Zn (0.000, 0.000, 0.000)
Lu (0.250, 0.250, 0.250)
Fe (0.500, 0.500, 0.500)



Entry 23:
## Gd3MgFe (PBE-GGA)

Data for crystalline Gd3MgFe at its relaxed geometry.

Values from the calculation:
M_tot	4.29	μB per atom
crystal system	cubic
energy of formation from the pure elements	0.229	eV per formula unit

a = 5.230 Å, b = 5.230 Å, c = 5.230 Å
α = 90.00°, β = 90.00°, γ = 90.00°
Fractional coordinates of all 5 atoms:
Mg (0.500, 0.500, 0.500)
Gd (0.000, 0.500, 0.000)
Gd (0.000, 0.000, 0.500)
Gd (0.500, 0.000, 0.000)
Fe (0.000, 0.000, 0.000)



Entry 24:
## Gd2MgFe (PBE-GGA)

Data for crystalline Gd2MgFe at its relaxed geometry.

Values from the calculation:
M_tot	3.23	μB per atom
crystal system	tetragonal
energy of formation from the pure elements	-0.035	eV per formula unit

a = 3.446 Å, b = 3.446 Å, c = 8.153 Å
α = 90.00°, β = 90.00°, γ = 90.00°
Fractional coordinates of all 4 atoms:
Mg (0.500, 0.500, 0.500)
Gd (0.000, 0.000, 0.798)
Gd (0.000, 0.000, 0.202)
Fe (0.500, 0.500, 0.000)



Entry 25:
## Gd2MgFe (PBE-GGA)

Data for crystalline Gd2MgFe at its relaxed geometry.

Values from the calculation:
M_tot	3.40	μB per atom
crystal system	trigonal
energy of formation from the pure elements	1.256	eV per formula unit

a = 3.530 Å, b = 3.530 Å, c = 10.518 Å
α = 80.34°, β = 80.34°, γ = 60.00°
Fractional coordinates of all 4 atoms:
Mg (0.000, 0.000, 0.000)
Gd (0.109, 0.109, 0.674)
Gd (0.891, 0.891, 0.326)
Fe (0.500, 0.500, 0.500)



Entry 26:
## GdYMgFe (PBE-GGA)

Data for crystalline GdYMgFe at its relaxed geometry.

Values from the calculation:
M_tot	1.44	μB per atom
crystal system	cubic
energy of formation from the pure elements	0.463	eV per formula unit

a = 5.094 Å, b = 5.094 Å, c = 5.094 Å
α = 60.00°, β = 60.00°, γ = 60.00°
Fractional coordinates of all 4 atoms:
Y (0.000, 0.000, 0.000)
Mg (0.750, 0.750, 0.750)
Gd (0.500, 0.500, 0.500)
Fe (0.250, 0.250, 0.250)



Entry 27:
## Gd2MnFe (PBE-GGA)

Data for crystalline Gd2MnFe at its relaxed geometry.

Values from the calculation:
M_tot	4.85	μB per atom
crystal system	cubic
energy above the lowest structure with this stoichiometry	50.4	meV/atom
energy of formation from the pure elements	1.115	eV per formula unit

a = 4.950 Å, b = 4.950 Å, c = 4.950 Å
α = 60.00°, β = 60.00°, γ = 60.00°
Fractional coordinates of all 4 atoms:
Gd (0.250, 0.250, 0.250)
Gd (0.750, 0.750, 0.750)
Fe (0.500, 0.500, 0.500)
Mn (0.000, 0.000, 0.000)



Entry 28:
## Gd2MnFe (PBE-GGA)

Data for crystalline Gd2MnFe at its relaxed geometry.

Values from the calculation:
M_tot	4.03	μB per atom
crystal system	tetragonal
energy above the lowest structure with this stoichiometry	0.0	meV/atom
energy of formation from the pure elements	0.914	eV per formula unit

a = 3.499 Å, b = 3.499 Å, c = 7.017 Å
α = 90.00°, β = 90.00°, γ = 90.00°
Fractional coordinates of all 4 atoms:
Gd (0.000, 0.000, 0.766)
Gd (0.000, 0.000, 0.234)
Fe (0.500, 0.500, 0.000)
Mn (0.500, 0.500, 0.500)



Entry 29:
## GdMnFe4 (PBE-GGA)

Data for crystalline GdMnFe4 at its relaxed geometry.

Values from the calculation:
M_tot	3.14	μB per atom
crystal system	cubic
energy of formation from the pure elements	0.713	eV per formula unit

a = 4.968 Å, b = 4.968 Å, c = 4.968 Å
α = 60.00°, β = 60.00°, γ = 60.00°
Fractional coordinates of all 6 atoms:
Gd (0.000, 0.000, 0.000)
Fe (0.624, 0.624, 0.127)
Fe (0.624, 0.127, 0.624)
Fe (0.624, 0.624, 0.624)
Fe (0.127, 0.624, 0.624)
Mn (0.250, 0.250, 0.250)



Entry 30:
## GdFe10Mo2N (PBE-GGA)

Data for crystalline GdFe10Mo2N at its relaxed geometry.

Values from the calculation:
M_tot	0.90	μB per atom
crystal system	orthorhombic
uncorrected formation energy	-0.1075	eV per atom

a = 6.569 Å, b = 6.569 Å, c = 6.569 Å
α = 137.37°, β = 97.91°, γ = 97.27°
Fractional coordinates of all 14 atoms:
Gd (0.000, 0.000, 0.000)
Fe (0.220, 0.720, 0.500)
Fe (0.780, 0.280, 0.500)
Fe (0.778, 0.500, 0.278)
Fe (0.222, 0.500, 0.722)
Fe (0.500, 0.500, 0.500)
Fe (0.500, 0.000, 0.000)
Fe (0.000, 0.500, 0.000)
Fe (0.000, 0.000, 0.500)
Fe (0.640, 0.640, 0.000)
Fe (0.360, 0.360, 0.000)
Mo (0.359, 0.000, 0.359)
Mo (0.641, 0.000, 0.641)
N (0.000, 0.500, 0.500)